# W2NF PBE+U relaxed
# offset from the most stable computed form: 0.0000 eV per atom
# VASP energy: -92.36 eV for the cell shown
# total magnetic moment: 0.542 Bohr magnetons per cell
data_W2NF
_chemical_formula_sum 'W8 N4 F4'
_cell_length_a 4.1081
_cell_length_b 4.1081
_cell_length_c 13.1970
_cell_angle_alpha 90.00
_cell_angle_beta 90.00
_cell_angle_gamma 90.00
_space_group_name_H-M_alt 'I -4 2 d'
_space_group_IT_number 122
_space_group_name_Hall 'I -4 2bw'
loop_
_atom_site_label
_atom_site_type_symbol
_atom_site_fract_x
_atom_site_fract_y
_atom_site_fract_z
_atom_site_occupancy
W1 W 0.1994 0.2500 0.1250 1
N1 N 0.0000 0.0000 0.0000 1
F1 F 0.0000 0.0000 0.5000 1